First-principles (GGA-PBE) data for a geometry-optimized LaZnCu2 structure, as listed in OQMD via LeMat-Bulk.

Cell: 6.705 6.705 6.705 Å, 90.00 90.00 90.00°
Sites, in units of the cell vectors:
1 La 0.000 0.000 0.000
2 La 0.000 0.500 0.500
3 La 0.500 0.000 0.500
4 La 0.500 0.500 0.000
5 Zn 0.250 0.250 0.750
6 Zn 0.250 0.750 0.250
7 Zn 0.750 0.250 0.250
8 Zn 0.750 0.750 0.750
9 Cu 0.000 0.000 0.500
10 Cu 0.000 0.500 0.000
11 Cu 0.250 0.250 0.250
12 Cu 0.250 0.750 0.750
13 Cu 0.500 0.000 0.000
14 Cu 0.500 0.500 0.500
15 Cu 0.750 0.250 0.750
16 Cu 0.750 0.750 0.250

## Properties
As for the total magnetization: 0.0 μB/cell. As for the total energy: -55.29 eV for the cell shown.

First-principles (GGA-PBE) data for a geometry-optimized Rb2Be2Cd3 structure, as listed in OQMD via LeMat-Bulk.

Cell: 10.708 10.708 10.708 Å, 25.03 25.03 25.03°
Sites, in units of the cell vectors:
1 Rb 0.000 0.000 0.000
2 Rb 0.419 0.419 0.419
3 Be 0.170 0.170 0.170
4 Be 0.606 0.606 0.606
5 Cd 0.256 0.256 0.256
6 Cd 0.529 0.529 0.529
7 Cd 0.829 0.829 0.829

## Properties
As for the total energy: -9.07 eV for the cell shown.

First-principles (GGA-PBE) data for a geometry-optimized TbSmAu6 structure, as listed in OQMD via LeMat-Bulk.

Cell: 5.063 6.266 5.162 Å, 90.00 90.00 90.00°
Sites, in units of the cell vectors:
1 Tb 0.000 0.000 0.000
2 Sm 0.500 0.500 0.686
3 Au 0.000 0.254 0.506
4 Au 0.000 0.500 0.018
5 Au 0.000 0.746 0.506
6 Au 0.500 0.000 0.676
7 Au 0.500 0.239 0.181
8 Au 0.500 0.761 0.181

## Properties
As for the total magnetization: 0.0 μB/cell. As for the total energy: -34.62 eV for the cell shown.

First-principles (GGA-PBE) data for a geometry-optimized IrPbO4 structure, as listed in OQMD via LeMat-Bulk.

Cell: 6.742 6.783 3.302 Å, 90.00 90.00 90.00°
Sites, in units of the cell vectors:
1 Ir 0.000 0.000 0.000
2 Ir 0.500 0.500 0.000
3 Pb 0.000 0.500 0.500
4 Pb 0.500 0.000 0.500
5 O 0.000 0.172 0.500
6 O 0.000 0.828 0.500
7 O 0.209 0.500 0.000
8 O 0.291 0.000 0.000
9 O 0.500 0.328 0.500
10 O 0.500 0.672 0.500
11 O 0.709 0.000 0.000
12 O 0.791 0.500 0.000

## Properties
As for the total magnetization: 1.3 μB/cell. As for the total energy: -73.47 eV for the cell shown.

First-principles (GGA-PBE) data for a geometry-optimized Hf4GaSiN2 structure, as listed in OQMD via LeMat-Bulk.

Cell: 3.206 3.206 13.620 Å, 90.00 90.00 120.00°
Sites, in units of the cell vectors:
1 Hf 0.000 0.000 0.152
2 Hf 0.000 0.000 0.848
3 Hf 0.333 0.667 0.338
4 Hf 0.333 0.667 0.662
5 Ga 0.000 0.000 0.500
6 Si 0.333 0.667 0.000
7 N 0.667 0.333 0.246
8 N 0.667 0.333 0.754

## Properties
As for the total magnetization: 0.0 μB/cell. As for the total energy: -73.95 eV for the cell shown.

First-principles (GGA-PBE) data for a geometry-optimized LuHgB structure, as listed in OQMD via LeMat-Bulk.

Cell: 6.402 6.402 6.402 Å, 90.00 90.00 90.00°
Sites, in units of the cell vectors:
1 Lu 0.000 0.000 0.000
2 Lu 0.000 0.500 0.500
3 Lu 0.500 0.000 0.500
4 Lu 0.500 0.500 0.000
5 Hg 0.250 0.250 0.250
6 Hg 0.250 0.750 0.750
7 Hg 0.750 0.250 0.750
8 Hg 0.750 0.750 0.250
9 B 0.250 0.250 0.750
10 B 0.250 0.750 0.250
11 B 0.750 0.250 0.250
12 B 0.750 0.750 0.750

## Properties
As for the total magnetization: 0.0 μB/cell. As for the total energy: -36.91 eV for the cell shown.

First-principles (GGA-PBE) data for a geometry-optimized Y3Mg3AlCd2 structure, as listed in OQMD via LeMat-Bulk.

Cell: 7.608 7.608 4.447 Å, 90.00 90.00 120.00°
Sites, in units of the cell vectors:
1 Y 0.000 0.587 0.000
2 Y 0.413 0.413 0.000
3 Y 0.587 0.000 0.000
4 Mg 0.000 0.240 0.500
5 Mg 0.240 0.000 0.500
6 Mg 0.760 0.760 0.500
7 Al 0.000 0.000 0.000
8 Cd 0.333 0.667 0.500
9 Cd 0.667 0.333 0.500

## Properties
As for the total magnetization: 0.0 μB/cell. As for the total energy: -32.00 eV for the cell shown.

First-principles (GGA-PBE) data for a geometry-optimized PaGe2 structure, as listed in OQMD via LeMat-Bulk.

Cell: 8.946 8.946 8.946 Å, 60.00 60.00 60.00°
Sites, in units of the cell vectors:
1 Pa 0.125 0.125 0.125
2 Pa 0.875 0.875 0.875
3 Ge 0.000 0.000 0.000
4 Ge 0.000 0.000 0.500
5 Ge 0.000 0.500 0.000
6 Ge 0.500 0.000 0.000

## Properties
As for the total magnetization: 3.0 μB/cell. As for the total energy: -28.08 eV for the cell shown.

First-principles (GGA-PBE) data for a geometry-optimized MgTaCdCo structure, as listed in OQMD via LeMat-Bulk.

Cell: 6.401 6.401 6.401 Å, 90.00 90.00 90.00°
Sites, in units of the cell vectors:
1 Mg 0.000 0.000 0.000
2 Mg 0.000 0.500 0.500
3 Mg 0.500 0.000 0.500
4 Mg 0.500 0.500 0.000
5 Ta 0.000 0.000 0.500
6 Ta 0.000 0.500 0.000
7 Ta 0.500 0.000 0.000
8 Ta 0.500 0.500 0.500
9 Cd 0.250 0.250 0.250
10 Cd 0.250 0.750 0.750
11 Cd 0.750 0.250 0.750
12 Cd 0.750 0.750 0.250
13 Co 0.250 0.250 0.750
14 Co 0.250 0.750 0.250
15 Co 0.750 0.250 0.250
16 Co 0.750 0.750 0.750

## Properties
As for the total magnetization: 0.0 μB/cell. As for the total energy: -81.75 eV for the cell shown.

First-principles (GGA-PBE) data for a geometry-optimized Cu15Pb structure, as listed in OQMD via LeMat-Bulk.

Cell: 7.300 41.531 3.650 Å, 90.00 90.00 90.00°
Sites, in units of the cell vectors:
1 Cu 0.106 0.184 0.000
2 Cu 0.106 0.816 0.500
3 Cu 0.124 0.351 0.000
4 Cu 0.124 0.649 0.500
5 Cu 0.125 0.393 0.500
6 Cu 0.125 0.436 0.000
7 Cu 0.125 0.479 0.500
8 Cu 0.125 0.521 0.000
9 Cu 0.125 0.564 0.500
10 Cu 0.125 0.607 0.000
11 Cu 0.126 0.308 0.500
12 Cu 0.126 0.692 0.000
13 Cu 0.128 0.266 0.000
14 Cu 0.128 0.734 0.500
15 Cu 0.135 0.225 0.500
16 Cu 0.135 0.775 0.000
17 Cu 0.375 0.308 0.000
18 Cu 0.375 0.351 0.500
19 Cu 0.375 0.393 0.000
20 Cu 0.375 0.436 0.500
21 Cu 0.375 0.479 0.000
22 Cu 0.375 0.521 0.500
23 Cu 0.375 0.564 0.000
24 Cu 0.375 0.607 0.500
25 Cu 0.375 0.649 0.000
26 Cu 0.375 0.692 0.500
27 Cu 0.380 0.265 0.500
28 Cu 0.380 0.735 0.000
29 Cu 0.383 0.220 0.000
30 Cu 0.383 0.780 0.500
31 Cu 0.617 0.220 0.500
32 Cu 0.617 0.780 0.000
33 Cu 0.620 0.265 0.000
34 Cu 0.620 0.735 0.500
35 Cu 0.625 0.308 0.500
36 Cu 0.625 0.351 0.000
37 Cu 0.625 0.393 0.500
38 Cu 0.625 0.436 0.000
39 Cu 0.625 0.479 0.500
40 Cu 0.625 0.521 0.000
41 Cu 0.625 0.564 0.500
42 Cu 0.625 0.607 0.000
43 Cu 0.625 0.649 0.500
44 Cu 0.625 0.692 0.000
45 Cu 0.865 0.225 0.000
46 Cu 0.865 0.775 0.500
47 Cu 0.872 0.266 0.500
48 Cu 0.872 0.734 0.000
49 Cu 0.874 0.308 0.000
50 Cu 0.874 0.692 0.500
51 Cu 0.875 0.393 0.000
52 Cu 0.875 0.436 0.500
53 Cu 0.875 0.479 0.000
54 Cu 0.875 0.521 0.500
55 Cu 0.875 0.564 0.000
56 Cu 0.875 0.607 0.500
57 Cu 0.876 0.351 0.500
58 Cu 0.876 0.649 0.000
59 Cu 0.894 0.184 0.500
60 Cu 0.894 0.816 0.000
61 Pb 0.321 0.156 0.500
62 Pb 0.321 0.844 0.000
63 Pb 0.679 0.156 0.000
64 Pb 0.679 0.844 0.500

## Properties
As for the total energy: -234.39 eV for the cell shown.

First-principles (GGA-PBE) data for a geometry-optimized PmInPt structure, as listed in OQMD via LeMat-Bulk.

Cell: 6.931 6.931 6.931 Å, 90.00 90.00 90.00°
Sites, in units of the cell vectors:
1 Pm 0.000 0.000 0.000
2 Pm 0.000 0.500 0.500
3 Pm 0.500 0.000 0.500
4 Pm 0.500 0.500 0.000
5 In 0.250 0.250 0.750
6 In 0.250 0.750 0.250
7 In 0.750 0.250 0.250
8 In 0.750 0.750 0.750
9 Pt 0.250 0.250 0.250
10 Pt 0.250 0.750 0.750
11 Pt 0.750 0.250 0.750
12 Pt 0.750 0.750 0.250

## Properties
As for the total magnetization: 0.0 μB/cell. As for the total energy: -56.52 eV for the cell shown.

First-principles (GGA-PBE) data for a geometry-optimized AcZr structure, as listed in OQMD via LeMat-Bulk.

Cell: 7.414 5.717 9.454 Å, 90.00 100.83 90.00°
Sites, in units of the cell vectors:
1 Ac 0.028 0.250 0.114
2 Ac 0.316 0.750 0.266
3 Ac 0.450 0.750 0.852
4 Ac 0.550 0.250 0.148
5 Ac 0.684 0.250 0.734
6 Ac 0.972 0.750 0.886
7 Zr 0.106 0.750 0.556
8 Zr 0.157 0.250 0.737
9 Zr 0.318 0.250 0.475
10 Zr 0.682 0.750 0.525
11 Zr 0.843 0.750 0.263
12 Zr 0.894 0.250 0.444

## Properties
As for the total magnetization: 0.0 μB/cell. As for the total energy: -72.87 eV for the cell shown.

First-principles (GGA-PBE) data for a geometry-optimized RbPrAsO structure, as listed in OQMD via LeMat-Bulk.

Cell: 5.176 7.167 6.177 Å, 90.00 90.00 90.00°
Sites, in units of the cell vectors:
1 Rb 0.000 0.129 0.000
2 Rb 0.000 0.871 0.500
3 Pr 0.500 0.223 0.503
4 Pr 0.500 0.777 0.003
5 As 0.000 0.437 0.457
6 As 0.000 0.563 0.957
7 O 0.500 0.008 0.763
8 O 0.500 0.992 0.263

## Properties
As for the total magnetization: 0.0 μB/cell. As for the total energy: -42.13 eV for the cell shown.

First-principles (GGA-PBE) data for a geometry-optimized GdTlAgTe3 structure, as listed in OQMD via LeMat-Bulk.

Cell: 8.039 8.039 11.485 Å, 90.00 90.00 149.28°
Sites, in units of the cell vectors:
1 Gd 0.000 0.000 0.000
2 Gd 0.000 0.000 0.500
3 Tl 0.239 0.761 0.750
4 Tl 0.761 0.239 0.250
5 Ag 0.464 0.536 0.250
6 Ag 0.536 0.464 0.750
7 Te 0.083 0.917 0.250
8 Te 0.360 0.640 0.051
9 Te 0.360 0.640 0.449
10 Te 0.640 0.360 0.551
11 Te 0.640 0.360 0.949
12 Te 0.917 0.083 0.750

## Properties
As for the total magnetization: 0.0 μB/cell. As for the total energy: -46.76 eV for the cell shown.

First-principles (GGA-PBE) data for a geometry-optimized ErTmTlC structure, as listed in OQMD via LeMat-Bulk.

Cell: 3.569 3.569 16.083 Å, 90.00 90.00 120.00°
Sites, in units of the cell vectors:
1 Er 0.000 0.000 0.168
2 Er 0.000 0.000 0.832
3 Tm 0.333 0.667 0.333
4 Tm 0.333 0.667 0.667
5 Tl 0.000 0.000 0.500
6 Tl 0.333 0.667 0.000
7 C 0.667 0.333 0.250
8 C 0.667 0.333 0.750

## Properties
As for the total magnetization: 0.2 μB/cell. As for the total energy: -44.55 eV for the cell shown.

First-principles (GGA-PBE) data for a geometry-optimized LiAcTb structure, as listed in OQMD via LeMat-Bulk.

Cell: 7.475 7.475 7.475 Å, 90.00 90.00 90.00°
Sites, in units of the cell vectors:
1 Li 0.000 0.000 0.000
2 Li 0.000 0.500 0.500
3 Li 0.500 0.000 0.500
4 Li 0.500 0.500 0.000
5 Ac 0.250 0.250 0.750
6 Ac 0.250 0.750 0.250
7 Ac 0.750 0.250 0.250
8 Ac 0.750 0.750 0.750
9 Tb 0.250 0.250 0.250
10 Tb 0.250 0.750 0.750
11 Tb 0.750 0.250 0.750
12 Tb 0.750 0.750 0.250

## Properties
As for the total magnetization: 0.2 μB/cell. As for the total energy: -37.10 eV for the cell shown.

First-principles (GGA-PBE) data for a geometry-optimized FeBW2 structure, as listed in OQMD via LeMat-Bulk.

Cell: 3.015 3.015 12.921 Å, 90.00 90.00 120.00°
Sites, in units of the cell vectors:
1 Fe 0.333 0.667 0.250
2 Fe 0.667 0.333 0.750
3 B 0.000 0.000 0.000
4 B 0.000 0.000 0.500
5 W 0.333 0.667 0.599
6 W 0.333 0.667 0.901
7 W 0.667 0.333 0.099
8 W 0.667 0.333 0.401

## Properties
As for the total magnetization: 2.9 μB/cell. As for the total energy: -80.90 eV for the cell shown.

First-principles (GGA-PBE) data for a geometry-optimized Nb2CdNi structure, as listed in OQMD via LeMat-Bulk.

Cell: 6.486 6.486 6.486 Å, 90.00 90.00 90.00°
Sites, in units of the cell vectors:
1 Nb 0.000 0.000 0.000
2 Nb 0.000 0.500 0.500
3 Nb 0.250 0.250 0.250
4 Nb 0.250 0.750 0.750
5 Nb 0.500 0.000 0.500
6 Nb 0.500 0.500 0.000
7 Nb 0.750 0.250 0.750
8 Nb 0.750 0.750 0.250
9 Cd 0.000 0.000 0.500
10 Cd 0.000 0.500 0.000
11 Cd 0.500 0.000 0.000
12 Cd 0.500 0.500 0.500
13 Ni 0.250 0.250 0.750
14 Ni 0.250 0.750 0.250
15 Ni 0.750 0.250 0.250
16 Ni 0.750 0.750 0.750

## Properties
As for the total magnetization: 7.4 μB/cell. As for the total energy: -100.43 eV for the cell shown.

First-principles (GGA-PBE) data for a geometry-optimized SmAgPt4 structure, as listed in OQMD via LeMat-Bulk.

Cell: 5.388 5.388 5.388 Å, 60.00 60.00 60.00°
Sites, in units of the cell vectors:
1 Sm 0.000 0.000 0.000
2 Ag 0.250 0.250 0.250
3 Pt 0.126 0.625 0.625
4 Pt 0.625 0.126 0.625
5 Pt 0.625 0.625 0.126
6 Pt 0.625 0.625 0.625

## Properties
As for the total magnetization: 0.0 μB/cell. As for the total energy: -36.10 eV for the cell shown.

First-principles (GGA-PBE) data for a geometry-optimized PuNiOs structure, as listed in OQMD via LeMat-Bulk.

Cell: 5.911 5.911 5.911 Å, 90.00 90.00 90.00°
Sites, in units of the cell vectors:
1 Pu 0.000 0.000 0.000
2 Pu 0.000 0.500 0.500
3 Pu 0.500 0.000 0.500
4 Pu 0.500 0.500 0.000
5 Ni 0.250 0.250 0.250
6 Ni 0.250 0.750 0.750
7 Ni 0.750 0.250 0.750
8 Ni 0.750 0.750 0.250
9 Os 0.000 0.000 0.500
10 Os 0.000 0.500 0.000
11 Os 0.500 0.000 0.000
12 Os 0.500 0.500 0.500

## Properties
As for the total magnetization: 13.5 μB/cell. As for the total energy: -119.72 eV for the cell shown.

First-principles (GGA-PBE) data for a geometry-optimized NaLuSiPt structure, as listed in OQMD via LeMat-Bulk.

Cell: 6.742 6.742 6.742 Å, 90.00 90.00 90.00°
Sites, in units of the cell vectors:
1 Na 0.000 0.000 0.000
2 Na 0.000 0.500 0.500
3 Na 0.500 0.000 0.500
4 Na 0.500 0.500 0.000
5 Lu 0.000 0.000 0.500
6 Lu 0.000 0.500 0.000
7 Lu 0.500 0.000 0.000
8 Lu 0.500 0.500 0.500
9 Si 0.250 0.250 0.750
10 Si 0.250 0.750 0.250
11 Si 0.750 0.250 0.250
12 Si 0.750 0.750 0.750
13 Pt 0.250 0.250 0.250
14 Pt 0.250 0.750 0.750
15 Pt 0.750 0.250 0.750
16 Pt 0.750 0.750 0.250

## Properties
As for the total magnetization: 0.0 μB/cell. As for the total energy: -75.68 eV for the cell shown.

First-principles (GGA-PBE) data for a geometry-optimized TmNb structure, as listed in OQMD via LeMat-Bulk.

Cell: 5.135 5.135 4.866 Å, 90.00 90.00 120.00°
Sites, in units of the cell vectors:
1 Tm 0.333 0.667 0.250
2 Tm 0.667 0.333 0.750
3 Nb 0.000 0.000 0.000
4 Nb 0.000 0.000 0.500

## Properties
As for the total magnetization: 0.0 μB/cell. As for the total energy: -26.26 eV for the cell shown.

First-principles (GGA-PBE) data for a geometry-optimized Pr3HoCu4 structure, as listed in OQMD via LeMat-Bulk.

Cell: 5.533 4.529 7.281 Å, 90.00 91.13 90.00°
Sites, in units of the cell vectors:
1 Pr 0.000 0.000 0.000
2 Pr 0.245 0.000 0.496
3 Pr 0.744 0.500 0.638
4 Ho 0.502 0.500 0.140
5 Cu 0.258 0.500 0.794
6 Cu 0.491 0.000 0.866
7 Cu 0.739 0.000 0.341
8 Cu 0.992 0.500 0.280

## Properties
As for the total magnetization: 0.0 μB/cell. As for the total energy: -35.26 eV for the cell shown.

First-principles (GGA-PBE) data for a geometry-optimized Ba2GeMo structure, as listed in OQMD via LeMat-Bulk.

Cell: 7.767 7.767 7.767 Å, 90.00 90.00 90.00°
Sites, in units of the cell vectors:
1 Ba 0.000 0.000 0.000
2 Ba 0.000 0.500 0.500
3 Ba 0.250 0.250 0.250
4 Ba 0.250 0.750 0.750
5 Ba 0.500 0.000 0.500
6 Ba 0.500 0.500 0.000
7 Ba 0.750 0.250 0.750
8 Ba 0.750 0.750 0.250
9 Ge 0.000 0.000 0.500
10 Ge 0.000 0.500 0.000
11 Ge 0.500 0.000 0.000
12 Ge 0.500 0.500 0.500
13 Mo 0.250 0.250 0.750
14 Mo 0.250 0.750 0.250
15 Mo 0.750 0.250 0.250
16 Mo 0.750 0.750 0.750

## Properties
As for the total magnetization: 16.0 μB/cell. As for the total energy: -66.75 eV for the cell shown.